Entry 1:
Compound: Mg2ScH6
Source: Alexandria
Functional: PBE
Structure: relaxed

The structure in CIF format:
```
data_Mg2ScH6
_space_group_name_H-M_alt 'P 1'
_space_group_IT_number 1
_cell_length_a 5.041
_cell_length_b 5.041
_cell_length_c 5.041
_cell_angle_alpha 60.00
_cell_angle_beta 60.00
_cell_angle_gamma 60.00
loop_
_space_group_symop_operation_xyz
'x,y,z'
loop_
_atom_site_label
_atom_site_fract_x
_atom_site_fract_y
_atom_site_fract_z
_atom_site_occupancy
H1 0.268 0.732 0.268 1
H2 0.268 0.732 0.732 1
H3 0.268 0.268 0.732 1
H4 0.732 0.268 0.732 1
Sc1 0.000 0.000 0.000 1
Mg1 0.250 0.250 0.250 1
H5 0.732 0.732 0.268 1
Mg2 0.750 0.750 0.750 1
H6 0.732 0.268 0.268 1
```

## Properties
E_tot in eV/cell: -28.86
Spin magnetization in μB/cell: 0.0
Calculated density in Mg/m³: 1.826



Entry 2:
Compound: LaCoBiSe2
Source: Alexandria
Functional: PBE
Structure: relaxed

The structure in CIF format:
```
data_LaCoBiSe2
_space_group_name_H-M_alt 'P 1'
_space_group_IT_number 1
_cell_length_a 4.891
_cell_length_b 4.912
_cell_length_c 4.891
_cell_angle_alpha 90.00
_cell_angle_beta 90.00
_cell_angle_gamma 90.00
loop_
_space_group_symop_operation_xyz
'x,y,z'
loop_
_atom_site_label
_atom_site_fract_x
_atom_site_fract_y
_atom_site_fract_z
_atom_site_occupancy
Se1 0.500 0.000 0.000 1
Se2 0.000 0.000 0.500 1
La1 0.000 0.500 0.000 1
Bi1 0.500 0.500 0.500 1
Co1 0.000 0.000 0.000 1
```

## Properties
ΔE_f (raw) in eV per atom: -0.4039
E_tot in eV/cell: -24.90
Spin magnetization in μB/cell: 0.0
Calculated density in Mg/m³: 7.981



Entry 3:
Compound: ScTiTe3
Source: Alexandria
Functional: PBE
Structure: relaxed

The structure in CIF format:
```
data_ScTiTe3
_space_group_name_H-M_alt 'P 1'
_space_group_IT_number 1
_cell_length_a 5.312
_cell_length_b 5.312
_cell_length_c 5.312
_cell_angle_alpha 90.00
_cell_angle_beta 90.00
_cell_angle_gamma 90.00
loop_
_space_group_symop_operation_xyz
'x,y,z'
loop_
_atom_site_label
_atom_site_fract_x
_atom_site_fract_y
_atom_site_fract_z
_atom_site_occupancy
Te1 0.500 0.000 0.000 1
Ti1 0.000 0.000 0.000 1
Te2 0.000 0.000 0.500 1
Sc1 0.500 0.500 0.500 1
Te3 0.000 0.500 0.000 1
```

## Properties
ΔE_f (raw) in eV per atom: -0.1607
E_tot in eV/cell: -24.45
Energy above the lowest structure with this stoichiometry in meV/atom: 718
Spin magnetization in μB/cell: 0.9
Calculated density in Mg/m³: 5.269



Please write out number 2 again, unchanged.
Compound: LaCoBiSe2
Source: Alexandria
Functional: PBE
Structure: relaxed

The structure in CIF format:
```
data_LaCoBiSe2
_space_group_name_H-M_alt 'P 1'
_space_group_IT_number 1
_cell_length_a 4.891
_cell_length_b 4.912
_cell_length_c 4.891
_cell_angle_alpha 90.00
_cell_angle_beta 90.00
_cell_angle_gamma 90.00
loop_
_space_group_symop_operation_xyz
'x,y,z'
loop_
_atom_site_label
_atom_site_fract_x
_atom_site_fract_y
_atom_site_fract_z
_atom_site_occupancy
Se1 0.500 0.000 0.000 1
Se2 0.000 0.000 0.500 1
La1 0.000 0.500 0.000 1
Bi1 0.500 0.500 0.500 1
Co1 0.000 0.000 0.000 1
```

## Properties
ΔE_f (raw) in eV per atom: -0.4039
E_tot in eV/cell: -24.90
Spin magnetization in μB/cell: 0.0
Calculated density in Mg/m³: 7.981